[1]
Material: Rb3NaTl2Br6
Method: DFT, GGA-PBE
State: optimized geometry

POSCAR file:
```
Rb3NaTl2Br6
1.0
8.313 0.001 -0.002
-4.153 7.201 -0.002
-1.390 -2.407 7.774
Rb Na Tl Br
3 1 2 6
Direct
0.171 0.829 0.500
0.829 0.171 0.500
0.500 0.500 0.500
0.000 0.000 0.000
0.335 0.665 0.000
0.665 0.335 0.000
0.923 0.608 0.769
0.764 0.764 0.232
0.077 0.392 0.231
0.608 0.923 0.769
0.236 0.236 0.768
0.392 0.077 0.231
```

Values from the calculation:
* E_form (uncorrected): -1.407 eV per atom
* SG: C2/m (12)
* total magnetic moment: 0.0 μB per formula unit
* final energy: -2.9891 eV/atom
* V: 465 Å³/cell

=====

[2]
Material: Pm7Tm4In
Method: DFT, GGA-PBE
State: optimized geometry

POSCAR file:
```
Pm7Tm4In
1.0
6.653 -1.016 0.295
1.760 6.206 0.950
-1.429 -3.093 8.450
Pm Tm In
7 4 1
Direct
0.755 0.469 0.950
0.245 0.531 0.050
0.099 0.152 0.680
0.901 0.848 0.320
0.407 0.800 0.392
0.500 0.000 0.000
0.593 0.200 0.608
0.694 0.359 0.281
0.306 0.641 0.719
0.804 0.688 0.645
0.196 0.312 0.355
0.000 0.000 0.000
```

Values from the calculation:
* SG: P-1 (2)
* total magnetic moment: 0.0 μB per formula unit
* final energy: -4.5025 eV/atom
* formation enthalpy at 0 K: -0.013 eV/atom
* V: 386 Å³/cell

=====

[3]
Material: Er2HfTl
Method: DFT, GGA-PBE
State: optimized geometry

POSCAR file:
```
Er2HfTl
1.0
-1.797 -1.957 1.951
1.404 -2.589 1.482
2.538 5.190 10.328
Tl Hf Er
1 1 2
Direct
0.500 0.500 0.500
0.000 0.000 0.000
0.090 0.090 0.730
0.910 0.910 0.270
```

Values from the calculation:
* SG: R-3m (166)
* total magnetic moment: 0.0 μB per formula unit
* final energy: -5.0591 eV/atom
* formation enthalpy at 0 K: 0.302 eV/atom
* V: 110 Å³/cell
* distance to the lowest polymorph of the same formula: 0.405 eV/atom